# 1
BaCa3Pd | PBE-GGA | optimized geometry

Lattice parameters (Å, degrees): 8.2100 8.2100 6.7838 90.00 90.00 120.00
Space group P6_3/mmc (No. 194)
One atom of each set of equivalent atoms:
1 Ba 0.3333 0.6667 0.2500 [2 per cell]
2 Ca 0.1639 0.3279 0.7500 [6 per cell]
3 Pd 0.0000 0.0000 0.0000 [2 per cell]

DFT formation energy   -0.294 eV per atom
Density of states at the Fermi level   0.802 states/eV/atom
Mass density   3052 kg/m3
Electronic total energy   -2.92 eV/atom
Volume   39.601 Å³/atom
ΔE to the lowest computed polymorph   17.6 meV/atom

---

# 2
CrInTc2Ge | PBE-GGA | optimized geometry

Lattice parameters (Å, degrees): 4.5205 4.5205 4.5274 90.00 90.00 90.00
Space group P4/mmm (No. 123)
One atom of each set of equivalent atoms:
1 Cr 0.0000 0.0000 0.0000 [1 per cell]
2 In 0.5000 0.5000 0.5000 [1 per cell]
3 Tc 0.0000 0.5000 0.0000 [2 per cell]
4 Ge 0.0000 0.0000 0.5000 [1 per cell]

DFT formation energy   0.909 eV per atom
Density of states at the Fermi level   1.294 states/eV/atom
Mass density   7816 kg/m3
Electronic total energy   -6.63 eV/atom
Volume   18.503 Å³/atom

---

# 3
Ti7IrPd3 | PBE-GGA | optimized geometry

Lattice parameters (Å, degrees): 4.6696 8.7470 9.2188 90.00 90.00 90.00
Space group Immm (No. 71)
One atom of each set of equivalent atoms:
1 Ti 0.0000 0.0000 0.0000 [2 per cell]
2 Ti 0.0000 0.2109 0.5000 [4 per cell]
3 Ti 0.0000 0.3270 0.2267 [8 per cell]
4 Ir 0.0000 0.5000 0.5000 [2 per cell]
5 Pd 0.0000 0.0000 0.2940 [4 per cell]
6 Pd 0.0000 0.5000 0.0000 [2 per cell]

DFT formation energy   -0.174 eV per atom
Density of states at the Fermi level   1.266 states/eV/atom
Mass density   7466 kg/m3
Electronic total energy   -7.42 eV/atom
Volume   17.116 Å³/atom

---

# 4
Sm4SiI5 | PBE-GGA | optimized geometry

Lattice parameters (Å, degrees): 19.4157 4.2673 8.9856 90.00 102.67 90.00
Space group C2/m (No. 12)
One atom of each set of equivalent atoms:
1 Sm 0.9998 0.0000 0.2119 [4 per cell]
2 Sm 0.1464 0.5000 0.0730 [4 per cell]
3 Si 0.0000 0.5000 0.0000 [2 per cell]
4 I 0.0000 0.5000 0.5000 [2 per cell]
5 I 0.1664 0.0000 0.3361 [4 per cell]
6 I 0.1714 0.0000 0.8264 [4 per cell]

Formation energy without anion corrections   -1222 meV per atom
Density of states at the Fermi level   0.396 states/eV/atom
Mass density   5779 kg/m3
Electronic total energy   -4.43 eV/atom
Volume   36.319 Å³/atom
ΔE to the lowest computed polymorph   0.0 meV/atom

---

# 5
NaVP | PBE-GGA | optimized geometry

Lattice parameters (Å, degrees): 3.7849 3.7849 7.3763 90.00 90.00 90.00
Space group P4/nmm (No. 129, origin choice 2)
One atom of each set of equivalent atoms:
1 Na 0.2500 0.2500 0.1387 [2 per cell]
2 V 0.2500 0.7500 0.5000 [2 per cell]
3 P 0.2500 0.2500 0.7073 [2 per cell]

DFT formation energy   -0.494 eV per atom
Density of states at the Fermi level   0.791 states/eV/atom
Mass density   3297 kg/m3
Electronic total energy   -5.78 eV/atom
Volume   17.611 Å³/atom